Record 1
PrHo2ThBi4: relaxed, PBE-GGA.

Properties
VASP energy ... -5.419 eV/atom
Volume ... 264.6 Å³ per cell
Symmetry ... P2/m (10)
Formation energy from the elements ... -0.81 eV/atom

a b c (Å): 4.550 7.836 7.873
angles (deg): 70.49 90.00 90.00
Atoms (fractional coordinates):
Ho (0.500, 0.000, 0.500)
Bi (0.500, 0.761, 0.248)
Bi (0.000, 0.239, 0.255)
Pr (0.500, 0.500, 0.000)
Bi (0.000, 0.761, 0.745)
Bi (0.500, 0.239, 0.752)
Th (0.000, 0.500, 0.500)
Ho (0.000, 0.000, 0.000)

---

Record 2
Pr2HoTh3Bi6: relaxed, PBE-GGA.

Properties
VASP energy ... -5.718 eV/atom
Volume ... 410.2 Å³ per cell
Symmetry ... C2/m (12)
Formation energy from the elements ... -0.74 eV/atom

a b c (Å): 4.593 9.166 10.266
angles (deg): 102.84 102.93 90.00
Atoms (fractional coordinates):
Bi (0.663, 0.080, 0.326)
Bi (0.337, 0.920, 0.674)
Bi (0.998, 0.243, 0.997)
Bi (0.002, 0.757, 0.003)
Th (0.831, 0.166, 0.662)
Pr (0.834, 0.667, 0.667)
Bi (0.666, 0.584, 0.332)
Th (0.169, 0.834, 0.338)
Ho (0.500, 0.000, 0.000)
Pr (0.166, 0.333, 0.333)
Bi (0.334, 0.416, 0.668)
Th (0.500, 0.500, 0.000)

---

Record 3
PrHo3Th2Bi6: relaxed, PBE-GGA.

Properties
VASP energy ... -5.490 eV/atom
Volume ... 396.1 Å³ per cell
Symmetry ... C2/m (12)
Formation energy from the elements ... -0.77 eV/atom

a b c (Å): 4.546 9.056 10.132
angles (deg): 102.63 102.96 90.00
Atoms (fractional coordinates):
Bi (0.670, 0.078, 0.340)
Bi (0.665, 0.589, 0.330)
Bi (0.330, 0.922, 0.660)
Ho (0.165, 0.833, 0.330)
Pr (0.500, 0.000, 0.000)
Th (0.834, 0.669, 0.669)
Bi (0.335, 0.411, 0.670)
Ho (0.835, 0.167, 0.670)
Ho (0.500, 0.500, 0.000)
Th (0.166, 0.331, 0.331)
Bi (0.002, 0.742, 0.004)
Bi (0.998, 0.258, 0.996)

---

Repeat the second record exactly.
Pr2HoTh3Bi6: relaxed, PBE-GGA.

Properties
VASP energy ... -5.718 eV/atom
Volume ... 410.2 Å³ per cell
Symmetry ... C2/m (12)
Formation energy from the elements ... -0.74 eV/atom

a b c (Å): 4.593 9.166 10.266
angles (deg): 102.84 102.93 90.00
Atoms (fractional coordinates):
Bi (0.663, 0.080, 0.326)
Bi (0.337, 0.920, 0.674)
Bi (0.998, 0.243, 0.997)
Bi (0.002, 0.757, 0.003)
Th (0.831, 0.166, 0.662)
Pr (0.834, 0.667, 0.667)
Bi (0.666, 0.584, 0.332)
Th (0.169, 0.834, 0.338)
Ho (0.500, 0.000, 0.000)
Pr (0.166, 0.333, 0.333)
Bi (0.334, 0.416, 0.668)
Th (0.500, 0.500, 0.000)

---

Copy entry 2 word for word.
Pr2HoTh3Bi6: relaxed, PBE-GGA.

Properties
VASP energy ... -5.718 eV/atom
Volume ... 410.2 Å³ per cell
Symmetry ... C2/m (12)
Formation energy from the elements ... -0.74 eV/atom

a b c (Å): 4.593 9.166 10.266
angles (deg): 102.84 102.93 90.00
Atoms (fractional coordinates):
Bi (0.663, 0.080, 0.326)
Bi (0.337, 0.920, 0.674)
Bi (0.998, 0.243, 0.997)
Bi (0.002, 0.757, 0.003)
Th (0.831, 0.166, 0.662)
Pr (0.834, 0.667, 0.667)
Bi (0.666, 0.584, 0.332)
Th (0.169, 0.834, 0.338)
Ho (0.500, 0.000, 0.000)
Pr (0.166, 0.333, 0.333)
Bi (0.334, 0.416, 0.668)
Th (0.500, 0.500, 0.000)

---

Among the records above, which one has the highest VASP energy?
PrHo2ThBi4

---

Which of these has the highest formation energy from the elements?
Pr2HoTh3Bi6